The following is a DFT calculation (PBE) of a geometry-optimized CaCrI2N structure.

Computed properties:
Raw formation energy = -0.37 eV/atom
Energy relative to the lowest polymorph listed for this composition = 0.000 eV/atom
DOS at the Fermi energy = 1.66 states/eV/f.u.
Total moment = 2.57 μB/f.u.

abc: 5.782 5.782 3.715
angles: 90.00 90.00 90.00
Last column: magnetic moment on the atom in μB.
Fractional coordinates of all 5 atoms:
I (0.000, 0.500, 0.000)  -0.01
I (0.500, 0.000, 0.000)  -0.01
Cr (0.000, 0.000, 0.000)  2.75
Ca (0.500, 0.500, 0.500)  0.00
N (0.000, 0.000, 0.500)  -0.36

The following is a DFT calculation (PBE) of a geometry-optimized CaCr2IN structure.

Computed properties:
Raw formation energy = 2.27 eV/atom
DOS at the Fermi energy = 9.25 states/eV/f.u.
Total moment = 0.70 μB/f.u.

abc: 4.696 6.101 4.696
angles: 90.00 90.00 90.00
Last column: magnetic moment on the atom in μB.
Fractional coordinates of all 5 atoms:
I (0.000, 0.000, 0.000)  -0.01
Cr (0.000, 0.000, 0.500)  -0.42
Cr (0.500, 0.000, 0.000)  -0.30
Ca (0.000, 0.500, 0.000)  0.00
N (0.500, 0.500, 0.500)  1.04

The following is a DFT calculation (PBE) of a geometry-optimized CaCrI2N structure.

Computed properties:
Raw formation energy = 0.45 eV/atom
Energy relative to the lowest polymorph listed for this composition = 0.821 eV/atom
DOS at the Fermi energy = 4.49 states/eV/f.u.
Total moment = 7.09 μB/f.u.

abc: 6.148 6.148 4.641
angles: 90.00 90.00 90.00
Last column: magnetic moment on the atom in μB.
Fractional coordinates of all 5 atoms:
I (0.000, 0.500, 0.000)  0.02
I (0.500, 0.000, 0.000)  0.02
Cr (0.500, 0.500, 0.500)  4.41
Ca (0.000, 0.000, 0.000)  0.01
N (0.000, 0.000, 0.500)  1.18

The following is a DFT calculation (PBE) of a geometry-optimized Na2CaCrI structure.

Computed properties:
Raw formation energy = 0.32 eV/atom
DOS at the Fermi energy = 2.70 states/eV/f.u.
Total moment = 5.37 μB/f.u.

abc: 5.770 6.132 5.770
angles: 90.00 90.00 90.00
Last column: magnetic moment on the atom in μB.
Fractional coordinates of all 5 atoms:
I (0.000, 0.000, 0.000)  0.02
Cr (0.500, 0.500, 0.500)  4.22
Ca (0.000, 0.500, 0.000)  0.01
Na (0.000, 0.000, 0.500)  0.01
Na (0.500, 0.000, 0.000)  0.00

The following is a DFT calculation (PBE) of a geometry-optimized CaNbCrI2 structure.

Computed properties:
Raw formation energy = 1.00 eV/atom
DOS at the Fermi energy = 5.31 states/eV/f.u.
Total moment = 9.02 μB/f.u.

abc: 5.422 5.901 5.422
angles: 90.00 90.00 90.00
Last column: magnetic moment on the atom in μB.
Fractional coordinates of all 5 atoms:
I (0.000, 0.000, 0.500)  0.02
I (0.500, 0.000, 0.000)  0.02
Cr (0.000, 0.000, 0.000)  3.66
Nb (0.500, 0.500, 0.500)  3.15
Ca (0.000, 0.500, 0.000)  0.10